No. 1
First-principles (PBE) data for a geometry-optimized KBePb2 structure, as listed in the Alexandria database.

Structure (CIF):
```
data_KBePb2
_cell_length_a 4.4539
_cell_length_b 5.8778
_cell_length_c 8.7716
_cell_angle_alpha 90.00
_cell_angle_beta 90.00
_cell_angle_gamma 90.00
_symmetry_space_group_name_H-M 'C m m m'
_symmetry_Int_Tables_number 65
_symmetry_space_group_name_Hall '-C 2 2'
loop_
_atom_site_label
_atom_site_type_symbol
_atom_site_fract_x
_atom_site_fract_y
_atom_site_fract_z
_atom_site_occupancy
K1 K 0.0000 0.0000 0.0000 1
Be1 Be 0.0000 0.0000 0.5000 1
Pb1 Pb 0.0000 0.5000 0.3207 1
```

Computed properties:
Total magnetic moment   0.0 Bohr magnetons per cell
Fermi-level density of states   0.26 states/eV per atom
Total DFT energy (no corrections)   -22.5 eV for the cell shown
DFT formation energy   0.2433 eV/atom

=====

No. 2
First-principles (PBE) data for a geometry-optimized KBePb2 structure, as listed in the Alexandria database.

Structure (CIF):
```
data_KBePb2
_cell_length_a 4.6365
_cell_length_b 4.6940
_cell_length_c 6.7377
_cell_angle_alpha 90.00
_cell_angle_beta 110.02
_cell_angle_gamma 90.00
_symmetry_space_group_name_H-M 'P 1 m 1'
_symmetry_Int_Tables_number 6
loop_
_symmetry_equiv_pos_as_xyz
'x,y,z'
'x,-y,z'
loop_
_atom_site_label
_atom_site_type_symbol
_atom_site_fract_x
_atom_site_fract_y
_atom_site_fract_z
_atom_site_occupancy
K1 K 0.0000 0.0000 0.0000 1
Be1 Be 0.3385 0.5000 0.6707 1
Pb1 Pb 0.2824 0.0000 0.5616 1
Pb2 Pb 0.7157 0.5000 0.4260 1
```

Computed properties:
Total magnetic moment   0.0 Bohr magnetons per cell
Fermi-level density of states   0.34 states/eV per atom
Total DFT energy (no corrections)   -11.0 eV for the cell shown
DFT formation energy   0.3020 eV/atom

=====

No. 3
First-principles (PBE) data for a geometry-optimized KBePb2 structure, as listed in the Alexandria database.

Structure (CIF):
```
data_KBePb2
_cell_length_a 6.7565
_cell_length_b 10.3006
_cell_length_c 3.2682
_cell_angle_alpha 90.00
_cell_angle_beta 90.00
_cell_angle_gamma 90.00
_symmetry_space_group_name_H-M 'C m m m'
_symmetry_Int_Tables_number 65
_symmetry_space_group_name_Hall '-C 2 2'
loop_
_atom_site_label
_atom_site_type_symbol
_atom_site_fract_x
_atom_site_fract_y
_atom_site_fract_z
_atom_site_occupancy
K1 K 0.0000 0.0000 0.0000 1
Be1 Be 0.0000 0.5000 0.0000 1
Pb1 Pb 0.2500 0.2500 0.5000 1
```

Computed properties:
Total magnetic moment   0.0 Bohr magnetons per cell
Fermi-level density of states   0.28 states/eV per atom
Total DFT energy (no corrections)   -20.0 eV for the cell shown
DFT formation energy   0.5652 eV/atom

=====

No. 4
First-principles (PBE) data for a geometry-optimized KBePb2 structure, as listed in the Alexandria database.

Structure (CIF):
```
data_KBePb2
_cell_length_a 7.0124
_cell_length_b 10.9518
_cell_length_c 3.3155
_cell_angle_alpha 90.00
_cell_angle_beta 114.21
_cell_angle_gamma 90.00
_symmetry_space_group_name_H-M 'C 1 2/m 1'
_symmetry_Int_Tables_number 12
loop_
_symmetry_equiv_pos_as_xyz
'x,y,z'
'-x,-y,-z'
'-x,y,-z'
'x,-y,z'
'x+1/2,y+1/2,z'
'-x+1/2,-y+1/2,-z'
'-x+1/2,y+1/2,-z'
'x+1/2,-y+1/2,z'
loop_
_atom_site_label
_atom_site_type_symbol
_atom_site_fract_x
_atom_site_fract_y
_atom_site_fract_z
_atom_site_occupancy
K1 K 0.0000 0.0000 0.0000 1
Be1 Be 0.0000 0.5000 0.0000 1
Pb1 Pb 0.2500 0.2500 0.5000 1
```

Computed properties:
Total magnetic moment   0.0 Bohr magnetons per cell
Fermi-level density of states   0.48 states/eV per atom
Total DFT energy (no corrections)   -19.9 eV for the cell shown
DFT formation energy   0.5740 eV/atom

=====

No. 5
First-principles (PBE) data for a geometry-optimized K3BePb structure, as listed in the Alexandria database.

Structure (CIF):
```
data_K3BePb
_cell_length_a 6.1960
_cell_length_b 6.1960
_cell_length_c 6.1960
_cell_angle_alpha 90.00
_cell_angle_beta 90.00
_cell_angle_gamma 90.00
_symmetry_space_group_name_H-M 'P m -3 m'
_symmetry_Int_Tables_number 221
_symmetry_space_group_name_Hall '-P 4 2 3'
loop_
_atom_site_label
_atom_site_type_symbol
_atom_site_fract_x
_atom_site_fract_y
_atom_site_fract_z
_atom_site_occupancy
K1 K 0.0000 0.0000 0.5000 1
Be1 Be 0.0000 0.0000 0.0000 1
Pb1 Pb 0.5000 0.5000 0.5000 1
```

Computed properties:
Total magnetic moment   0.0 Bohr magnetons per cell
Fermi-level density of states   1.26 states/eV per atom
Offset from the most stable computed form   0.0 meV/atom
Total DFT energy (no corrections)   -7.5 eV for the cell shown
DFT formation energy   0.6433 eV/atom

=====

No. 6
First-principles (PBE) data for a geometry-optimized KBePb2 structure, as listed in the Alexandria database.

Structure (CIF):
```
data_KBePb2
_cell_length_a 3.4819
_cell_length_b 3.7562
_cell_length_c 8.4410
_cell_angle_alpha 90.00
_cell_angle_beta 90.00
_cell_angle_gamma 90.00
_symmetry_space_group_name_H-M 'P m m m'
_symmetry_Int_Tables_number 47
loop_
_symmetry_equiv_pos_as_xyz
'x,y,z'
'-x,-y,-z'
'-x,-y,z'
'x,y,-z'
'x,-y,-z'
'-x,y,z'
'-x,y,-z'
'x,-y,z'
loop_
_atom_site_label
_atom_site_type_symbol
_atom_site_fract_x
_atom_site_fract_y
_atom_site_fract_z
_atom_site_occupancy
K1 K 0.0000 0.0000 0.0000 1
Be1 Be 0.0000 0.0000 0.5000 1
Pb1 Pb 0.5000 0.5000 0.3179 1
```

Computed properties:
Total magnetic moment   0.0 Bohr magnetons per cell
Fermi-level density of states   0.42 states/eV per atom
Total DFT energy (no corrections)   -11.2 eV for the cell shown
DFT formation energy   0.2642 eV/atom

=====

No. 7
First-principles (PBE) data for a geometry-optimized K2BePtPb structure, as listed in the Alexandria database.

Structure (CIF):
```
data_K2BePtPb
_cell_length_a 6.3603
_cell_length_b 6.3603
_cell_length_c 4.3946
_cell_angle_alpha 90.00
_cell_angle_beta 90.00
_cell_angle_gamma 90.00
_symmetry_space_group_name_H-M 'P 4/m m m'
_symmetry_Int_Tables_number 123
_symmetry_space_group_name_Hall '-P 4 2'
loop_
_atom_site_label
_atom_site_type_symbol
_atom_site_fract_x
_atom_site_fract_y
_atom_site_fract_z
_atom_site_occupancy
K1 K 0.0000 0.5000 0.0000 1
Be1 Be 0.0000 0.0000 0.5000 1
Pt1 Pt 0.5000 0.5000 0.5000 1
Pb1 Pb 0.0000 0.0000 0.0000 1
```

Computed properties:
Total magnetic moment   0.9 Bohr magnetons per cell
Fermi-level density of states   1.28 states/eV per atom
Total DFT energy (no corrections)   -11.5 eV for the cell shown
DFT formation energy   0.8361 eV/atom

=====

No. 8
First-principles (PBE) data for a geometry-optimized K2BePbS structure, as listed in the Alexandria database.

Structure (CIF):
```
data_K2BePbS
_cell_length_a 6.5369
_cell_length_b 6.5369
_cell_length_c 3.7962
_cell_angle_alpha 90.00
_cell_angle_beta 90.00
_cell_angle_gamma 90.00
_symmetry_space_group_name_H-M 'P 4/m m m'
_symmetry_Int_Tables_number 123
_symmetry_space_group_name_Hall '-P 4 2'
loop_
_atom_site_label
_atom_site_type_symbol
_atom_site_fract_x
_atom_site_fract_y
_atom_site_fract_z
_atom_site_occupancy
K1 K 0.0000 0.5000 0.0000 1
Be1 Be 0.0000 0.0000 0.5000 1
Pb1 Pb 0.5000 0.5000 0.5000 1
S1 S 0.0000 0.0000 0.0000 1
```

Computed properties:
Total magnetic moment   0.4 Bohr magnetons per cell
ΔE_f (raw)   -3.8 kcal/mol of atoms
Fermi-level density of states   0.99 states/eV per atom
Total DFT energy (no corrections)   -14.6 eV for the cell shown

=====

No. 9
First-principles (PBE) data for a geometry-optimized KBe2SiPb structure, as listed in the Alexandria database.

Structure (CIF):
```
data_KBe2SiPb
_cell_length_a 4.9337
_cell_length_b 4.9337
_cell_length_c 6.4495
_cell_angle_alpha 90.00
_cell_angle_beta 90.00
_cell_angle_gamma 90.00
_symmetry_space_group_name_H-M 'P 4/m m m'
_symmetry_Int_Tables_number 123
_symmetry_space_group_name_Hall '-P 4 2'
loop_
_atom_site_label
_atom_site_type_symbol
_atom_site_fract_x
_atom_site_fract_y
_atom_site_fract_z
_atom_site_occupancy
K1 K 0.0000 0.0000 0.0000 1
Be1 Be 0.0000 0.5000 0.5000 1
Si1 Si 0.5000 0.5000 0.0000 1
Pb1 Pb 0.5000 0.5000 0.5000 1
```

Computed properties:
Total magnetic moment   0.0 Bohr magnetons per cell
ΔE_f (raw)   27.4 kcal/mol of atoms
Fermi-level density of states   0.96 states/eV per atom
Total DFT energy (no corrections)   -11.7 eV for the cell shown

=====

No. 10
First-principles (PBE) data for a geometry-optimized K3BePd structure, as listed in the Alexandria database.

Structure (CIF):
```
data_K3BePd
_cell_length_a 6.1691
_cell_length_b 6.1691
_cell_length_c 6.1691
_cell_angle_alpha 90.00
_cell_angle_beta 90.00
_cell_angle_gamma 90.00
_symmetry_space_group_name_H-M 'P m -3 m'
_symmetry_Int_Tables_number 221
_symmetry_space_group_name_Hall '-P 4 2 3'
loop_
_atom_site_label
_atom_site_type_symbol
_atom_site_fract_x
_atom_site_fract_y
_atom_site_fract_z
_atom_site_occupancy
K1 K 0.0000 0.0000 0.5000 1
Be1 Be 0.5000 0.5000 0.5000 1
Pd1 Pd 0.0000 0.0000 0.0000 1
```

Computed properties:
Total magnetic moment   0.0 Bohr magnetons per cell
Fermi-level density of states   1.03 states/eV per atom
Offset from the most stable computed form   0.0 meV/atom
Total DFT energy (no corrections)   -8.9 eV for the cell shown
DFT formation energy   0.6572 eV/atom

=====

No. 11
First-principles (PBE) data for a geometry-optimized K2BePd2 structure, as listed in the Alexandria database.

Structure (CIF):
```
data_K2BePd2
_cell_length_a 6.2154
_cell_length_b 6.2154
_cell_length_c 5.5076
_cell_angle_alpha 90.00
_cell_angle_beta 90.00
_cell_angle_gamma 90.00
_symmetry_space_group_name_H-M 'P 4/m b m'
_symmetry_Int_Tables_number 127
_symmetry_space_group_name_Hall '-P 4 2ab'
loop_
_atom_site_label
_atom_site_type_symbol
_atom_site_fract_x
_atom_site_fract_y
_atom_site_fract_z
_atom_site_occupancy
K1 K 0.1775 0.3225 0.0000 1
Be1 Be 0.0000 0.0000 0.5000 1
Pd1 Pd 0.1566 0.6566 0.5000 1
```

Computed properties:
Total magnetic moment   0.0 Bohr magnetons per cell
Fermi-level density of states   0.27 states/eV per atom
Total DFT energy (no corrections)   -32.2 eV for the cell shown
DFT formation energy   0.0419 eV/atom

=====

No. 12
First-principles (PBE) data for a geometry-optimized K2ScBePd structure, as listed in the Alexandria database.

Structure (CIF):
```
data_K2ScBePd
_cell_length_a 6.8933
_cell_length_b 6.8933
_cell_length_c 4.6996
_cell_angle_alpha 90.00
_cell_angle_beta 90.00
_cell_angle_gamma 90.00
_symmetry_space_group_name_H-M 'P 4/m m m'
_symmetry_Int_Tables_number 123
_symmetry_space_group_name_Hall '-P 4 2'
loop_
_atom_site_label
_atom_site_type_symbol
_atom_site_fract_x
_atom_site_fract_y
_atom_site_fract_z
_atom_site_occupancy
K1 K 0.0000 0.5000 0.0000 1
Sc1 Sc 0.0000 0.0000 0.0000 1
Be1 Be 0.5000 0.5000 0.5000 1
Pd1 Pd 0.0000 0.0000 0.5000 1
```

Computed properties:
Total magnetic moment   0.7 Bohr magnetons per cell
Fermi-level density of states   1.26 states/eV per atom
Total DFT energy (no corrections)   -12.3 eV for the cell shown
DFT formation energy   1.0302 eV/atom